Computed, not measured: crystalline NaMg2Ni at its relaxed geometry at the GGA-PBE level of DFT.

Unit cell a=4.2935 b=4.2935 c=9.9107 alpha=77.49 beta=77.49 gamma=90.00
Last column: nearest neighbours and their distance in Å.
Fractional positions:
Mg (0.8750, 0.9112, 0.7500)  2 Ni 2.75, 2 Mg 2.82, 2 Na 2.87
Mg (0.6612, 0.1250, 0.2500)  2 Ni 2.75, 2 Mg 2.82, 2 Na 2.87
Mg (0.0888, 0.6250, 0.2500)  2 Ni 2.75, 2 Mg 2.82, 2 Na 2.87
Mg (0.3750, 0.3388, 0.7500)  2 Ni 2.75, 2 Mg 2.82, 2 Na 2.87
Na (0.5000, 0.5000, 0.0000)  4 Mg 2.87, 4 Ni 3.04
Ni (0.7500, 0.2500, 0.5000)  4 Mg 2.75, 4 Na 3.04
Ni (0.0000, 0.0000, 0.0000)  4 Mg 2.75, 4 Na 3.04
Na (0.2500, 0.7500, 0.5000)  4 Mg 2.87, 4 Ni 3.04

Summary:
The symmetry is I-42d (122). For the formation energy, the calculation gives 0.450 eV/atom. The value obtained for the density of states at the Fermi level is 0.542 states/eV per atom. The spin magnetization is 0.000 μB/atom. As for the electronic total energy: -2.122 eV/atom. For the polymorph energy (0 for the lowest one), the calculation gives 318 meV per atom.